Entry 1:
Here is Y2TmAl3AgPd2 after structural relaxation from OQMD via LeMat-Bulk. Energies are from GGA-PBE.

Lattice parameters (Å, degrees): 3.8616 7.3730 7.3730 119.65 90.00 90.00
Element x y z (fractional)
Y  0.0000  0.2067  0.7933
Y  0.0000  0.7933  0.2067
Tm  0.0000  0.6211  0.6211
Al  0.5000  0.2086  0.4643
Al  0.5000  0.4643  0.2086
Al  0.5000  0.9507  0.9507
Ag  0.0000  0.2100  0.2100
Pd  0.5000  0.5423  0.8692
Pd  0.5000  0.8692  0.5423

Summary:
V: 20.3 Å³ per atom
Electronic total energy: -48.21 eV per formula unit



Entry 2:
Here is CdRePO after structural relaxation from OQMD via LeMat-Bulk. Energies are from GGA-PBE.

Lattice parameters (Å, degrees): 4.0252 4.0252 7.9258 90.00 90.00 90.00
Element x y z (fractional)
Cd  0.2500  0.2500  0.1184
Cd  0.7500  0.7500  0.8816
Re  0.2500  0.7500  0.5000
Re  0.7500  0.2500  0.5000
P  0.2500  0.2500  0.6603
P  0.7500  0.7500  0.3397
O  0.2500  0.7500  0.0000
O  0.7500  0.2500  0.0000

Summary:
V: 16.1 Å³ per atom
E above lowest polymorph: 0.275 eV per atom



Entry 3:
Here is GdP after structural relaxation from OQMD via LeMat-Bulk. Energies are from GGA-PBE.

Lattice parameters (Å, degrees): 3.9426 3.9426 3.5913 90.00 90.00 120.00
Element x y z (fractional)
Gd  0.0000  0.0000  0.0000
P  0.6667  0.3333  0.5000

Summary:
V: 24.2 Å³ per atom
Electronic total energy: -12.62 eV per formula unit



Entry 4:
Here is Re2TeSe2S after structural relaxation from OQMD via LeMat-Bulk. Energies are from GGA-PBE.

Lattice parameters (Å, degrees): 6.6655 6.8305 7.1896 90.46 105.18 118.02
Element x y z (fractional)
Re  0.0085  0.2059  0.0040
Re  0.4356  0.1739  0.0114
Re  0.5644  0.8261  0.9886
Re  0.9915  0.7941  0.9960
Te  0.2710  0.3967  0.7662
Te  0.7290  0.6033  0.2338
Se  0.2443  0.1026  0.2764
Se  0.2506  0.6269  0.1801
Se  0.7494  0.3731  0.8199
Se  0.7557  0.8974  0.7236
S  0.2326  0.8548  0.7757
S  0.7674  0.1452  0.2243

Summary:
V: 23.0 Å³ per atom
E above lowest polymorph: 0.014 eV per atom



Entry 5:
Here is NpTcSn after structural relaxation from OQMD via LeMat-Bulk. Energies are from GGA-PBE.

Lattice parameters (Å, degrees): 4.6667 4.6667 4.6667 60.00 60.00 60.00
Element x y z (fractional)
Np  0.0000  0.0000  0.0000
Tc  0.5000  0.5000  0.5000
Sn  0.2500  0.2500  0.2500

Summary:
V: 24.0 Å³ per atom
Electronic total energy: -24.69 eV per formula unit



Entry 6:
Here is Y2CdIn after structural relaxation from OQMD via LeMat-Bulk. Energies are from GGA-PBE.

Lattice parameters (Å, degrees): 5.5442 5.5442 11.0104 90.00 90.00 120.00
Element x y z (fractional)
Y  0.3333  0.6667  0.0897
Y  0.3333  0.6667  0.4103
Y  0.6667  0.3333  0.5897
Y  0.6667  0.3333  0.9103
Cd  0.0000  0.0000  0.0000
Cd  0.0000  0.0000  0.5000
In  0.3333  0.6667  0.7500
In  0.6667  0.3333  0.2500

Summary:
V: 36.6 Å³ per atom
Electronic total energy: -16.32 eV per formula unit



Entry 7:
Here is TbZnPO after structural relaxation from OQMD via LeMat-Bulk. Energies are from GGA-PBE.

Lattice parameters (Å, degrees): 4.9037 4.0537 6.5975 90.00 90.00 90.00
Element x y z (fractional)
Tb  0.0000  0.2077  0.0000
Tb  0.0000  0.7923  0.5000
Zn  0.5000  0.3101  0.3584
Zn  0.5000  0.6899  0.8584
P  0.5000  0.1924  0.6976
P  0.5000  0.8076  0.1976
O  0.0000  0.2994  0.3409
O  0.0000  0.7006  0.8409

Summary:
V: 16.4 Å³ per atom
Electronic total energy: -22.84 eV per formula unit



Entry 8:
Here is BeCuNiB after structural relaxation from OQMD via LeMat-Bulk. Energies are from GGA-PBE.

Lattice parameters (Å, degrees): 3.7249 3.7249 3.7249 60.00 60.00 60.00
Element x y z (fractional)
Be  0.0000  0.0000  0.0000
Cu  0.2500  0.2500  0.2500
Ni  0.5000  0.5000  0.5000
B  0.7500  0.7500  0.7500

Summary:
V: 9.1 Å³ per atom
E above lowest polymorph: 0.208 eV per atom



Entry 9:
Here is Ge2W after structural relaxation from OQMD via LeMat-Bulk. Energies are from GGA-PBE.

Lattice parameters (Å, degrees): 6.4252 3.4830 8.6023 90.00 90.00 90.00
Element x y z (fractional)
Ge  0.0625  0.2500  0.1320
Ge  0.1344  0.2500  0.5405
Ge  0.3656  0.7500  0.0405
Ge  0.4375  0.7500  0.6320
Ge  0.5625  0.2500  0.3680
Ge  0.6344  0.2500  0.9595
Ge  0.8656  0.7500  0.4595
Ge  0.9375  0.7500  0.8680
W  0.2494  0.2500  0.8293
W  0.2506  0.7500  0.3293
W  0.7494  0.2500  0.6707
W  0.7506  0.7500  0.1707

Summary:
V: 16.0 Å³ per atom
Electronic total energy: -22.10 eV per formula unit



Entry 10:
Here is LiMg2FeCu4 after structural relaxation from OQMD via LeMat-Bulk. Energies are from GGA-PBE.

Lattice parameters (Å, degrees): 4.2046 4.2046 5.9694 90.00 90.00 90.00
Element x y z (fractional)
Li  0.0000  0.0000  0.0000
Mg  0.0000  0.0000  0.5000
Mg  0.5000  0.5000  0.0000
Fe  0.5000  0.5000  0.5000
Cu  0.0000  0.5000  0.2640
Cu  0.0000  0.5000  0.7360
Cu  0.5000  0.0000  0.2640
Cu  0.5000  0.0000  0.7360

Summary:
V: 13.2 Å³ per atom
Electronic total energy: -27.83 eV per formula unit



Entry 11:
Here is PrGdSi2 after structural relaxation from OQMD via LeMat-Bulk. Energies are from GGA-PBE.

Lattice parameters (Å, degrees): 5.8750 3.9176 8.1744 90.00 90.64 90.00
Element x y z (fractional)
Pr  0.1146  0.2500  0.1801
Pr  0.8854  0.7500  0.8199
Gd  0.3858  0.2500  0.6787
Gd  0.6142  0.7500  0.3213
Si  0.1260  0.7500  0.4663
Si  0.3786  0.7500  0.9616
Si  0.6214  0.2500  0.0384
Si  0.8740  0.2500  0.5337

Summary:
V: 23.5 Å³ per atom
E above lowest polymorph: 0.007 eV per atom



Entry 12:
Here is Y2NbWC6 after structural relaxation from OQMD via LeMat-Bulk. Energies are from GGA-PBE.

Lattice parameters (Å, degrees): 5.4861 6.1381 9.8131 90.00 123.73 90.00
Element x y z (fractional)
Y  0.2331  0.0765  0.2507
Y  0.2331  0.4235  0.7507
Y  0.7669  0.5765  0.2493
Y  0.7669  0.9235  0.7493
Nb  0.5000  0.0000  0.0000
Nb  0.5000  0.5000  0.5000
W  0.0000  0.0000  0.5000
W  0.0000  0.5000  0.0000
C  0.1580  0.2145  0.9599
C  0.1580  0.2855  0.4599
C  0.2548  0.7071  0.9625
C  0.2548  0.7929  0.4625
C  0.3245  0.0221  0.7458
C  0.3245  0.4779  0.2458
C  0.6755  0.5221  0.7542
C  0.6755  0.9779  0.2542
C  0.7452  0.2071  0.5375
C  0.7452  0.2929  0.0375
C  0.8420  0.7145  0.5401
C  0.8420  0.7855  0.0401

Summary:
V: 13.7 Å³ per atom
Electronic total energy: -83.95 eV per formula unit



Entry 13:
Here is Pr2SiAg after structural relaxation from OQMD via LeMat-Bulk. Energies are from GGA-PBE.

Lattice parameters (Å, degrees): 5.9276 4.1163 8.5711 90.00 91.94 90.00
Element x y z (fractional)
Pr  0.1230  0.2500  0.3049
Pr  0.3723  0.2500  0.8318
Pr  0.6277  0.7500  0.1682
Pr  0.8770  0.7500  0.6951
Si  0.1212  0.7500  0.0323
Si  0.8788  0.2500  0.9677
Ag  0.3533  0.7500  0.5406
Ag  0.6467  0.2500  0.4594

Summary:
V: 26.1 Å³ per atom
Electronic total energy: -19.61 eV per formula unit



Entry 14:
Here is NaHfCu3Te4 after structural relaxation from OQMD via LeMat-Bulk. Energies are from GGA-PBE.

Lattice parameters (Å, degrees): 6.3520 6.3520 6.3520 90.00 90.00 90.00
Element x y z (fractional)
Na  0.0000  0.0000  0.0000
Hf  0.5000  0.5000  0.5000
Cu  0.0000  0.5000  0.5000
Cu  0.5000  0.0000  0.5000
Cu  0.5000  0.5000  0.0000
Te  0.2567  0.2567  0.2567
Te  0.2567  0.7433  0.7433
Te  0.7433  0.2567  0.7433
Te  0.7433  0.7433  0.2567

Summary:
V: 28.5 Å³ per atom
E above lowest polymorph: 0.000 eV per atom



Entry 15:
Here is Nb3AgSe5 after structural relaxation from OQMD via LeMat-Bulk. Energies are from GGA-PBE.

Lattice parameters (Å, degrees): 5.7623 5.7623 7.5681 90.00 90.00 120.00
Element x y z (fractional)
Nb  0.0000  0.5000  0.0000
Nb  0.5000  0.0000  0.0000
Nb  0.5000  0.5000  0.0000
Ag  0.0000  0.0000  0.5000
Se  0.0000  0.0000  0.0000
Se  0.3333  0.6667  0.2707
Se  0.3333  0.6667  0.7293
Se  0.6667  0.3333  0.2707
Se  0.6667  0.3333  0.7293

Summary:
V: 24.2 Å³ per atom
Electronic total energy: -53.72 eV per formula unit



Entry 16:
Here is HoBW after structural relaxation from OQMD via LeMat-Bulk. Energies are from GGA-PBE.

Lattice parameters (Å, degrees): 4.4747 4.4747 4.4747 60.00 60.00 60.00
Element x y z (fractional)
Ho  0.0000  0.0000  0.0000
B  0.7500  0.7500  0.7500
W  0.2500  0.2500  0.2500

Summary:
V: 21.1 Å³ per atom
E above lowest polymorph: 1.703 eV per atom



Entry 17:
Here is Nd2TmReO6 after structural relaxation from OQMD via LeMat-Bulk. Energies are from GGA-PBE.

Lattice parameters (Å, degrees): 5.0235 5.2131 5.6216 107.72 100.77 101.40
Element x y z (fractional)
Nd  0.2416  0.4304  0.2058
Nd  0.7584  0.5696  0.7942
Tm  0.0000  0.0000  0.5000
Re  0.5000  0.0000  0.0000
O  0.1686  0.8934  0.1562
O  0.2562  0.7030  0.6435
O  0.3675  0.2597  0.8094
O  0.6325  0.7403  0.1906
O  0.7438  0.2970  0.3565
O  0.8314  0.1066  0.8438

Summary:
V: 13.3 Å³ per atom
Electronic total energy: -81.17 eV per formula unit



Entry 18:
Here is LuMgHgAu after structural relaxation from OQMD via LeMat-Bulk. Energies are from GGA-PBE.

Lattice parameters (Å, degrees): 4.9081 4.9081 4.9081 60.00 60.00 60.00
Element x y z (fractional)
Lu  0.0000  0.0000  0.0000
Mg  0.5000  0.5000  0.5000
Hg  0.2500  0.2500  0.2500
Au  0.7500  0.7500  0.7500

Summary:
V: 20.9 Å³ per atom
E above lowest polymorph: 0.000 eV per atom



Entry 19:
Here is Sc2PdPt after structural relaxation from OQMD via LeMat-Bulk. Energies are from GGA-PBE.

Lattice parameters (Å, degrees): 4.6683 4.6683 4.6683 119.95 119.95 90.09
Element x y z (fractional)
Sc  0.2500  0.7500  0.5000
Sc  0.7500  0.2500  0.5000
Pd  0.0000  0.0000  0.0000
Pt  0.5000  0.5000  0.0000

Summary:
V: 18.0 Å³ per atom
E above lowest polymorph: 0.000 eV per atom
E_form: -25.227 kcal/mol of atoms



Entry 20:
Here is GdSbN2O after structural relaxation from OQMD via LeMat-Bulk. Energies are from GGA-PBE.

Lattice parameters (Å, degrees): 5.7378 5.7378 14.0920 90.00 90.00 120.00
Element x y z (fractional)
Gd  0.0000  0.0000  0.2500
Gd  0.0000  0.0000  0.7500
Gd  0.3333  0.6667  0.1231
Gd  0.3333  0.6667  0.3769
Gd  0.6667  0.3333  0.6231
Gd  0.6667  0.3333  0.8769
Sb  0.0000  0.0000  0.0000
Sb  0.0000  0.0000  0.5000
Sb  0.3333  0.6667  0.6422
Sb  0.3333  0.6667  0.8578
Sb  0.6667  0.3333  0.1422
Sb  0.6667  0.3333  0.3578
N  0.1498  0.2997  0.5985
N  0.1498  0.2997  0.9015
N  0.1498  0.8502  0.5985
N  0.1498  0.8502  0.9015
N  0.2997  0.1498  0.0985
N  0.2997  0.1498  0.4015
N  0.7003  0.8502  0.5985
N  0.7003  0.8502  0.9015
N  0.8502  0.1498  0.0985
N  0.8502  0.1498  0.4015
N  0.8502  0.7003  0.0985
N  0.8502  0.7003  0.4015
O  0.0002  0.5001  0.2500
O  0.9998  0.4999  0.7500
O  0.4999  0.9998  0.2500
O  0.5001  0.0002  0.7500
O  0.4999  0.5001  0.2500
O  0.5001  0.4999  0.7500

Summary:
V: 13.4 Å³ per atom
Electronic total energy: -33.46 eV per formula unit